InHgCl2 (PBE, relaxed); space-group type = No. 35; energy relative to the lowest polymorph listed for this composition = 203.5 meV per atom; formation energy from raw total energies = -0.440 eV/atom; Fermi-level density of states = 0.2713 states/eV/atom
1.0
-3.669 -0.722 0.918
2.769 -2.017 1.758
0.407 6.285 6.572
Cl Hg In
2 1 1
Cartesian
0.384 5.932 6.202 Cl
-0.324 0.579 3.375 Cl
0.204 3.155 3.299 Hg
-0.147 3.308 6.229 In

In3Hg2Cl3 (PBE, relaxed); space-group type = No. 8; formation energy from raw total energies = -0.564 eV/atom; Fermi-level density of states = 0.0413 states/eV/atom
1.0
5.917 0.000 0.000
-2.959 6.535 -0.079
0.000 -0.075 15.488
In Hg Cl
6 4 6
Cartesian
2.959 3.182 11.495 In
2.959 4.792 0.910 In
2.959 4.745 6.364 In
0.000 2.855 3.789 In
0.000 1.882 14.393 In
0.000 1.919 8.681 In
2.959 2.193 14.464 Hg
2.959 5.635 9.710 Hg
0.000 4.307 6.727 Hg
0.000 4.493 0.926 Hg
2.959 1.559 9.229 Cl
2.959 3.754 3.825 Cl
2.959 5.843 13.716 Cl
0.000 2.627 11.581 Cl
0.000 0.833 1.757 Cl
0.000 0.799 5.773 Cl

InHgCl2 (PBE, relaxed); space-group type = No. 160; energy relative to the lowest polymorph listed for this composition = 68.6 meV per atom; formation energy from raw total energies = -0.575 eV/atom; Fermi-level density of states = 0.1025 states/eV/atom
1.0
8.649 -0.013 -0.008
7.726 3.889 -0.008
7.726 1.829 3.432
Cl Hg In
2 1 1
Cartesian
0.564 0.133 0.080 Cl
5.445 1.289 0.772 Cl
11.974 2.834 1.697 Hg
18.168 4.300 2.576 In

InHgCl4 (PBE, relaxed); space-group type = No. 216; energy relative to the lowest polymorph listed for this composition = 884.6 meV per atom; formation energy from raw total energies = 0.149 eV/atom; Fermi-level density of states = 0.9151 states/eV/atom
1.0
-5.746 -2.151 -0.734
-4.030 3.092 -3.518
-1.758 -2.319 -5.451
In Hg Cl
1 1 4
Cartesian
0.000 0.000 0.000 In
-8.650 -1.034 -7.277 Hg
-7.203 -1.596 -4.003 Cl
-5.202 -1.680 -6.369 Cl
-6.342 1.035 -5.400 Cl
-4.320 -0.516 -3.635 Cl

InHgCl2 (PBE, relaxed); space-group type = No. 71; energy relative to the lowest polymorph listed for this composition = 168.1 meV per atom; formation energy from raw total energies = -0.476 eV/atom; Fermi-level density of states = 0.7635 states/eV/atom
1.0
-6.105 -1.736 0.903
-2.911 -1.480 -5.516
4.674 -1.476 4.132
Cl Hg In
2 1 1
Cartesian
-0.611 -0.218 -0.313 Cl
-3.896 -1.390 -1.994 Cl
-2.969 -2.410 1.364 Hg
-1.373 -2.282 -1.846 In

In2HgIrCl (PBE, relaxed); space-group type = No. 123; formation energy from raw total energies = -0.226 eV/atom; Fermi-level density of states = 0.3166 states/eV/atom
1.0
-1.544 4.674 -1.698
-4.968 -1.529 0.309
-0.223 1.729 4.963
Cl Ir Hg In
1 1 1 2
Cartesian
-3.367 2.437 1.787 Cl
0.000 0.000 0.000 Ir
-0.112 0.865 2.482 Hg
-2.484 -0.764 0.155 In
-0.772 2.337 -0.849 In

KInHg2Cl8 (PBE, relaxed); space-group type = No. 2; formation energy from raw total energies = -0.971 eV/atom; Fermi-level density of states = 0.0000 states/eV/atom
1.0
6.746 0.028 0.395
0.054 6.661 0.914
0.527 1.275 8.645
K In Hg Cl
1 1 2 8
Cartesian
0.264 0.637 4.323 K
0.000 0.000 0.000 In
3.710 4.049 7.103 Hg
3.618 3.915 2.851 Hg
0.987 5.272 2.817 Cl
4.518 5.107 1.017 Cl
5.655 1.465 2.057 Cl
6.341 2.691 7.136 Cl
2.810 2.857 8.936 Cl
1.673 6.498 7.896 Cl
4.369 5.563 5.419 Cl
2.959 2.401 4.534 Cl

Li2In2HgCl6 (PBE, relaxed); space-group type = No. 2; formation energy from raw total energies = -1.156 eV/atom; Fermi-level density of states = 0.0000 states/eV/atom
1.0
-3.114 4.947 3.791
-6.302 -1.117 0.433
4.414 -1.909 8.421
Li In Hg Cl
2 2 1 6
Cartesian
-1.647 2.520 8.640 Li
-3.355 -0.599 4.005 Li
-1.592 -2.069 7.878 In
-3.410 3.990 4.767 In
0.650 1.519 6.106 Hg
-2.269 0.199 8.516 Cl
-5.706 3.803 5.582 Cl
-5.772 2.595 9.405 Cl
0.703 -1.882 7.063 Cl
0.769 -0.674 3.240 Cl
-2.733 1.722 4.129 Cl

Question: Fermi-level density of states of number 2 (In3Hg2Cl3)?
Answer: 0.0413 states/eV/atom

Question: The highest Fermi-level density of states belongs to which entry?
Answer: InHgCl4

Question: Which of these has the highest Fermi-level density of states?
Answer: InHgCl4